[1]
10
Lattice="7.0282 0.0000 0.0000 0.0000 7.0282 0.0000 0.0000 0.0000 6.3294" Properties=species:S:1:pos:R:3 comment="Cs2Ga2Si, optimized geometry, DFT PBE-GGA" m_tot_mub_per_cell=0.000 volume_a3_per_cell=312.6 e_tot_ev_per_atom=-2.433 formation_energy_uncorrected_ev_per_atom=0.20 pbc="T T T"
Cs 1.3097 2.2044 0.0000
Cs 2.2044 5.7185 0.0000
Cs 4.8237 1.3097 0.0000
Cs 5.7185 4.8237 0.0000
Ga 0.9370 4.4510 3.1647
Ga 2.5771 0.9370 3.1647
Ga 4.4510 6.0912 3.1647
Ga 6.0912 2.5771 3.1647
Si 0.0000 0.0000 3.1647
Si 3.5141 3.5141 3.1647

[2]
4
Lattice="6.0470 -3.4315 0.0000 6.0470 3.4315 0.0000 -1.5292 0.0000 4.0369" Properties=species:S:1:pos:R:3 comment="Cs2GaSi, optimized geometry, DFT PBE-GGA" m_tot_mub_per_cell=0.000 volume_a3_per_cell=167.5 e_tot_ev_per_atom=-2.478 formation_energy_uncorrected_ev_per_atom=0.06 pbc="T T T"
Cs 1.8631 0.0000 0.7117
Cs 8.7017 0.0000 3.3252
Ga 5.2824 0.8673 2.0184
Si 6.0470 -0.1900 0.0000

[3]
6
Lattice="-2.8435 2.9786 6.0344 2.8435 -2.9786 6.0344 2.8435 2.9786 -6.0344" Properties=species:S:1:pos:R:3 comment="CsGaSi, optimized geometry, DFT PBE-GGA" m_tot_mub_per_cell=0.000 volume_a3_per_cell=204.4 e_tot_ev_per_atom=-3.152 formation_energy_uncorrected_ev_per_atom=-0.05 pbc="T T T"
Cs 0.0000 0.0000 2.3233
Cs 0.0000 0.0000 9.7455
Ga 2.8435 1.2207 0.0000
Ga 0.0000 1.7579 6.0344
Si 1.1438 2.9786 0.0000
Si 1.6996 0.0000 6.0344

[4]
6
Lattice="6.8880 -2.5122 0.0000 6.8880 2.5122 0.0000 -2.1837 0.0000 5.9648" Properties=species:S:1:pos:R:3 comment="CsGaSi, optimized geometry, DFT PBE-GGA" m_tot_mub_per_cell=0.000 volume_a3_per_cell=206.4 e_tot_ev_per_atom=-3.009 formation_energy_uncorrected_ev_per_atom=0.09 pbc="T T T"
Cs 0.7529 0.0000 2.3034
Cs 10.8394 0.0000 3.6614
Ga 5.4768 0.0000 0.6830
Ga 6.1155 0.0000 5.2819
Si 3.4440 1.2561 0.0000
Si 3.4440 -1.2561 0.0000

[5]
7
Lattice="4.0782 0.0000 0.0000 1.4903 7.1989 0.0000 1.8337 1.9612 6.8973" Properties=species:S:1:pos:R:3 comment="Cs2Ga3Si2, optimized geometry, DFT PBE-GGA" m_tot_mub_per_cell=0.000 volume_a3_per_cell=202.5 e_tot_ev_per_atom=-3.007 formation_energy_uncorrected_ev_per_atom=0.08 pbc="T T T"
Cs 0.8599 1.7013 0.0682
Cs 6.5423 7.4588 6.8291
Ga 2.7448 3.8260 2.5661
Ga 2.9560 0.9806 3.4486
Ga 4.6574 5.3341 4.3312
Si 2.6256 6.3523 3.0125
Si 4.7766 2.8079 3.8848

[6]
5
Lattice="7.6418 0.0000 0.0000 0.0000 7.6418 0.0000 0.0000 0.0000 5.6060" Properties=species:S:1:pos:R:3 comment="Cs2SrGaSi, optimized geometry, DFT PBE-GGA" m_tot_mub_per_cell=0.000 volume_a3_per_cell=327.4 e_tot_ev_per_atom=-1.643 formation_energy_uncorrected_ev_per_atom=0.72 pbc="T T T"
Cs 0.0000 3.8209 0.0000
Cs 3.8209 0.0000 0.0000
Sr 0.0000 0.0000 0.0000
Ga 3.8209 3.8209 2.8030
Si 0.0000 0.0000 2.8030